1.
Computed, not measured: a relaxed structure of Fe2Br2F at the PBE with a Hubbard U level of DFT.

a = 6.3008 Å, b = 6.3008 Å, c = 6.3008 Å
α = 137.23°, β = 137.23°, γ = 62.09°
Positions (direct):
Fe (0.2500, 0.7500, 0.5000)
Fe (0.7500, 0.2500, 0.5000)
Br (0.1446, 0.1446, 0.0000)
Br (0.8554, 0.8554, 0.0000)
F (0.5000, 0.5000, 0.0000)

Summary:
As for the calculated volume: 22.796 Å³ per atom. As for the space group: No. 139.


2.
Computed, not measured: a relaxed structure of Fe2Br2F at the PBE with a Hubbard U level of DFT.

a = 7.5776 Å, b = 7.5776 Å, c = 3.3848 Å
α = 90.00°, β = 90.00°, γ = 90.00°
Positions (direct):
Fe (0.1577, 0.3423, 0.0000)
Fe (0.3423, 0.8423, 0.0000)
Fe (0.6577, 0.1577, 0.0000)
Fe (0.8423, 0.6577, 0.0000)
Br (0.1488, 0.6488, 0.5000)
Br (0.3512, 0.1488, 0.5000)
Br (0.6488, 0.8512, 0.5000)
Br (0.8512, 0.3512, 0.5000)
F (0.0000, 0.0000, 0.5000)
F (0.5000, 0.5000, 0.5000)

Summary:
As for the calculated volume: 19.436 Å³ per atom. As for the space group: No. 127.


Energy relative to the most stable one, in meV per atom: 1 0; 2 156